Computed, not measured: crystalline ZnBiAs2Se at its relaxed geometry at the PBE level of DFT.

Results
As for the relative energy among the computed polymorphs: 0.000 eV/atom. The volume comes out at 23.8 Å³ per atom.

The structure in POSCAR format:
```
ZnBiAs2Se
1.0
4.858 0.000 0.000
0.000 4.858 0.000
0.000 0.000 5.037
As Bi Se Zn
2 1 1 1
Cartesian
0.000 2.429 0.000
2.429 0.000 0.000
2.429 2.429 2.519
0.000 0.000 2.519
0.000 0.000 0.000
```